# 1
CeEr2Se3: relaxed, GGA-PBE.

Unit cell a=4.050 b=5.800 c=12.380 alpha=90.00 beta=90.00 gamma=90.00
Space group Immm (No. 71)
Symmetry-distinct sites (fractional):
Ce 0.000 0.000 0.000
Er 0.000 0.000 0.337
Se 0.000 0.500 0.000
Se 0.000 0.500 0.325

Calculated values
Magnetic moment   1.096 μB per formula unit
Formation energy from raw total energies   -1.739 eV per atom
E   -5.99 eV per atom



# 2
TaMoRu2: relaxed, GGA-PBE.

Unit cell a=4.611 b=4.611 c=2.928 alpha=90.00 beta=90.00 gamma=90.00
Space group P4/mmm (No. 123)
Symmetry-distinct sites (fractional):
Ta 0.000 0.000 0.000
Mo 0.500 0.500 0.000
Ru 0.000 0.500 0.500

Calculated values
Magnetic moment   0.003 μB per formula unit
Energy of formation   0.00 eV per atom
E   -10.31 eV per atom



> Which of these has the lowest magnetic moment?

TaMoRu2